Hf6Pd2S | PBE | relaxed

Cell lengths 5.809, 6.669, 10.806 Å; angles 90.00, 120.31, 90.00 degrees
Fractional positions:
Hf (0.087, 0.210, 0.443)
Hf (0.087, 0.290, 0.943)
Hf (0.290, 0.660, 0.449)
Hf (0.290, 0.840, 0.949)
Hf (0.402, 0.034, 0.242)
Hf (0.402, 0.466, 0.742)
Hf (0.598, 0.534, 0.258)
Hf (0.598, 0.966, 0.758)
Hf (0.710, 0.160, 0.051)
Hf (0.710, 0.340, 0.551)
Hf (0.913, 0.710, 0.057)
Hf (0.913, 0.790, 0.557)
Pd (0.143, 0.113, 0.735)
Pd (0.143, 0.387, 0.235)
Pd (0.857, 0.613, 0.765)
Pd (0.857, 0.887, 0.265)
S (0.500, 0.000, 0.500)
S (0.500, 0.500, 0.000)

ΔE_f (raw) (kJ/mol of atoms): -58.7
DFT total energy (eV for the cell shown): -159.4